# 1
The following is a GGA-PBE calculation of RbIn7Ag5 after structural relaxation, from the Alexandria database.

a b c (Å): 5.8523 7.8201 7.8201
angles (deg): 82.32 68.03 68.03
Element x y z (fractional)
Rb 0.0007 0.9993 0.9993
In 0.6478 0.3522 0.3522
In 0.3489 0.6511 0.6511
In 0.9927 0.3582 0.6563
In 0.9927 0.6563 0.3582
In 0.2721 0.2279 0.2279
In 0.5068 0.7838 0.2026
In 0.5068 0.2026 0.7838
Ag 0.5006 0.9954 0.5012
Ag 0.0029 0.9954 0.5012
Ag 0.5006 0.5012 0.9954
Ag 0.0029 0.5012 0.9954
Ag 0.7246 0.7754 0.7754

Results
E_tot in eV/cell: -35.05
ΔH_f (0 K) in meV/atom: -51
M_tot in μB/cell: 0.0

=====

# 2
The following is a GGA-PBE calculation of Rb2In7Ag after structural relaxation, from the Alexandria database.

a b c (Å): 5.0677 5.0677 12.2999
angles (deg): 90.00 90.00 90.00
Element x y z (fractional)
Rb 0.5000 0.0000 0.7555
Rb 0.0000 0.5000 0.2445
In 0.0000 0.5000 0.8785
In 0.5000 0.0000 0.3622
In 0.5000 0.0000 0.1215
In 0.0000 0.5000 0.6378
In 0.0000 0.0000 0.5000
In 0.0000 0.0000 0.0000
In 0.5000 0.5000 0.5000
Ag 0.5000 0.5000 0.0000

Results
E_tot in eV/cell: -24.80
ΔH_f (0 K) in meV/atom: -85
M_tot in μB/cell: 0.0

=====

# 3
The following is a GGA-PBE calculation of Rb3In9Ag2 after structural relaxation, from the Alexandria database.

a b c (Å): 4.9928 9.7193 9.7193
angles (deg): 76.42 75.12 75.12
Element x y z (fractional)
Rb 0.0000 0.0000 0.0000
Rb 0.6916 0.3084 0.3084
Rb 0.3084 0.6916 0.6916
In 0.0000 0.5000 0.5000
In 0.6773 0.9753 0.6701
In 0.3227 0.0247 0.3299
In 0.6773 0.6701 0.9753
In 0.3227 0.3299 0.0247
In 0.8842 0.8304 0.4013
In 0.1158 0.1696 0.5987
In 0.8842 0.4013 0.8304
In 0.1158 0.5987 0.1696
Ag 0.5000 0.2747 0.7253
Ag 0.5000 0.7253 0.2747

Results
E_tot in eV/cell: -34.12
ΔH_f (0 K) in meV/atom: -62
M_tot in μB/cell: 0.0

=====

# 4
The following is a GGA-PBE calculation of Rb2In12Ag7 after structural relaxation, from the Alexandria database.

a b c (Å): 4.8237 11.3610 11.3610
angles (deg): 120.00 90.00 90.00
Element x y z (fractional)
Rb 0.5000 0.0000 0.0000
Rb 0.0000 0.6667 0.3333
In 0.5000 0.9240 0.6126
In 0.5000 0.6886 0.0760
In 0.5000 0.3874 0.3114
In 0.5000 0.2464 0.7814
In 0.5000 0.5350 0.7536
In 0.5000 0.2186 0.4650
In 0.0000 0.0405 0.5072
In 0.0000 0.4668 0.9595
In 0.0000 0.4928 0.5332
In 0.0000 0.8068 0.7279
In 0.0000 0.9212 0.1932
In 0.0000 0.2721 0.0788
Ag 0.0000 0.3333 0.6667
Ag 0.0000 0.0873 0.7861
Ag 0.0000 0.6989 0.9127
Ag 0.0000 0.2139 0.3011
Ag 0.5000 0.6553 0.5739
Ag 0.5000 0.9186 0.3447
Ag 0.5000 0.4261 0.0814

Results
E_tot in eV/cell: -55.58
ΔH_f (0 K) in meV/atom: -39
M_tot in μB/cell: 0.0

=====

- M_tot of number 2 (Rb2In7Ag)?
  0.0 μB/cell